No. 1
A plane-wave DFT calculation with PBE-GGA was carried out for an optimized crystal structure of Fe2AsBr.

Cell: 3.199 3.199 6.614 Å, 90.00 90.00 90.00°
Fractional coordinates of all 4 atoms:
Fe1 0.000 0.000 0.184
Fe2 0.000 0.000 0.816
As1 0.500 0.500 0.000
Br1 0.500 0.500 0.500

Values from the calculation:
- calculated total energy (eV/atom) = -5.477
- formation energy (no corrections) (eV per formula unit) = 1.34
- magnetic moment (μB per formula unit) = 5.26
- density of states at the Fermi level (states/eV/atom) = 0.805

---

No. 2
A plane-wave DFT calculation with PBE-GGA was carried out for an optimized crystal structure of HoTh3Sc12.

Cell: 4.720 4.720 18.866 Å, 90.00 90.00 90.00°
Fractional coordinates of all 16 atoms:
Ho1 0.000 0.000 0.000
Th1 0.000 0.000 0.250
Th2 0.000 0.000 0.500
Th3 0.000 0.000 0.750
Sc1 0.000 0.500 0.126
Sc2 0.000 0.500 0.375
Sc3 0.000 0.500 0.625
Sc4 0.000 0.500 0.874
Sc5 0.500 0.000 0.126
Sc6 0.500 0.000 0.375
Sc7 0.500 0.000 0.625
Sc8 0.500 0.000 0.874
Sc9 0.500 0.500 0.000
Sc10 0.500 0.500 0.250
Sc11 0.500 0.500 0.500
Sc12 0.500 0.500 0.750

Values from the calculation:
- calculated total energy (eV/atom) = -6.391
- magnetic moment (μB per formula unit) = 0.00
- calculated formation energy (eV/atom) = 0.035
- density of states at the Fermi level (states/eV/atom) = 1.854

---

No. 3
A plane-wave DFT calculation with PBE-GGA was carried out for an optimized crystal structure of Th3AlSn.

Cell: 5.496 6.983 7.574 Å, 90.00 96.70 90.00°
Fractional coordinates of all 10 atoms:
Th1 0.197 0.026 0.248
Th2 0.197 0.474 0.248
Th3 0.292 0.250 0.694
Th4 0.708 0.750 0.306
Th5 0.803 0.526 0.752
Th6 0.803 0.974 0.752
Al1 0.261 0.750 0.568
Al2 0.739 0.250 0.432
Sn1 0.331 0.750 0.926
Sn2 0.669 0.250 0.074

Values from the calculation:
- calculated total energy (eV/atom) = -6.165
- magnetic moment (μB per formula unit) = 0.00
- calculated formation energy (eV/atom) = -0.164
- density of states at the Fermi level (states/eV/atom) = 1.125

---

No. 4
A plane-wave DFT calculation with PBE-GGA was carried out for an optimized crystal structure of Y2AsBr.

Cell: 10.379 10.379 10.379 Å, 21.12 21.12 21.12°
Fractional coordinates of all 4 atoms:
Y1 0.000 0.000 0.000
Y2 0.233 0.233 0.233
As1 0.508 0.508 0.508
Br1 0.729 0.729 0.729

Values from the calculation:
- calculated total energy (eV/atom) = -5.436
- formation energy (no corrections) (eV per formula unit) = -2.49
- magnetic moment (μB per formula unit) = 0.69
- density of states at the Fermi level (states/eV/atom) = 0.848

---

No. 5
A plane-wave DFT calculation with PBE-GGA was carried out for an optimized crystal structure of Al2CrTe.

Cell: 5.661 5.661 5.661 Å, 138.99 138.99 59.39°
Fractional coordinates of all 4 atoms:
Al1 0.250 0.750 0.500
Al2 0.750 0.250 0.500
Cr1 0.000 0.000 0.000
Te1 0.500 0.500 0.000

Values from the calculation:
- calculated total energy (eV/atom) = -4.795
- formation energy (no corrections) (eV per formula unit) = 1.07
- magnetic moment (μB per formula unit) = 3.50
- density of states at the Fermi level (states/eV/atom) = 0.566

---

No. 6
A plane-wave DFT calculation with PBE-GGA was carried out for an optimized crystal structure of MnAs2Pt.

Cell: 7.309 7.309 7.309 Å, 27.33 27.33 27.33°
Fractional coordinates of all 4 atoms:
Mn1 0.000 0.000 0.000
As1 0.266 0.266 0.266
As2 0.491 0.491 0.491
Pt1 0.755 0.755 0.755

Values from the calculation:
- calculated total energy (eV/atom) = -6.164
- magnetic moment (μB per formula unit) = 3.20
- calculated formation energy (eV/atom) = -0.037
- density of states at the Fermi level (states/eV/atom) = 0.464

---

No. 7
A plane-wave DFT calculation with PBE-GGA was carried out for an optimized crystal structure of Dy8PbAu2.

Cell: 9.349 9.349 7.220 Å, 106.47 106.47 31.47°
Fractional coordinates of all 11 atoms:
Dy1 0.034 0.034 0.257
Dy2 0.198 0.198 0.820
Dy3 0.326 0.326 0.532
Dy4 0.407 0.407 0.035
Dy5 0.593 0.593 0.965
Dy6 0.674 0.674 0.468
Dy7 0.802 0.802 0.180
Dy8 0.966 0.966 0.743
Pb1 0.500 0.500 0.500
Au1 0.189 0.189 0.211
Au2 0.811 0.811 0.789

Values from the calculation:
- calculated total energy (eV/atom) = -4.684
- magnetic moment (μB per formula unit) = 0.00
- calculated formation energy (eV/atom) = -0.404
- density of states at the Fermi level (states/eV/atom) = 0.896

---

No. 8
A plane-wave DFT calculation with PBE-GGA was carried out for an optimized crystal structure of TiSN2F.

Cell: 4.041 4.041 3.781 Å, 90.00 90.00 90.00°
Fractional coordinates of all 5 atoms:
Ti1 0.000 0.000 0.000
S1 0.500 0.500 0.500
N1 0.000 0.500 0.000
N2 0.500 0.000 0.000
F1 0.000 0.000 0.500

Values from the calculation:
- calculated total energy (eV/atom) = -6.078
- formation energy (no corrections) (eV per formula unit) = 0.15
- magnetic moment (μB per formula unit) = 0.00
- density of states at the Fermi level (states/eV/atom) = 0.428

---

No. 9
A plane-wave DFT calculation with PBE-GGA was carried out for an optimized crystal structure of MnCoPb3.

Cell: 5.090 5.090 5.090 Å, 90.00 90.00 90.00°
Fractional coordinates of all 5 atoms:
Mn1 0.000 0.000 0.000
Co1 0.500 0.500 0.500
Pb1 0.000 0.500 0.500
Pb2 0.500 0.000 0.500
Pb3 0.500 0.500 0.000

Values from the calculation:
- calculated total energy (eV/atom) = -4.891
- magnetic moment (μB per formula unit) = 5.03
- calculated formation energy (eV/atom) = 0.589
- density of states at the Fermi level (states/eV/atom) = 0.723

---

No. 10
A plane-wave DFT calculation with PBE-GGA was carried out for an optimized crystal structure of PrNd2Tl.

Cell: 5.642 5.642 5.642 Å, 60.00 60.00 60.00°
Fractional coordinates of all 4 atoms:
Pr1 0.000 0.000 0.000
Nd1 0.250 0.250 0.250
Nd2 0.750 0.750 0.750
Tl1 0.500 0.500 0.500

Values from the calculation:
- calculated total energy (eV/atom) = -4.221
- magnetic moment (μB per formula unit) = 1.25
- calculated formation energy (eV/atom) = -0.051
- density of states at the Fermi level (states/eV/atom) = 1.569

---

No. 11
A plane-wave DFT calculation with PBE-GGA was carried out for an optimized crystal structure of Pr2ZnIn2.

Cell: 6.181 6.181 11.291 Å, 114.61 114.61 45.70°
Fractional coordinates of all 10 atoms:
Pr1 0.025 0.025 0.339
Pr2 0.180 0.180 0.094
Pr3 0.820 0.820 0.906
Pr4 0.975 0.975 0.661
Zn1 0.274 0.274 0.657
Zn2 0.726 0.726 0.343
In1 0.354 0.354 0.430
In2 0.482 0.482 0.125
In3 0.518 0.518 0.875
In4 0.646 0.646 0.570

Values from the calculation:
- calculated total energy (eV/atom) = -3.708
- magnetic moment (μB per formula unit) = 0.00
- calculated formation energy (eV/atom) = -0.446
- density of states at the Fermi level (states/eV/atom) = 0.780

---

No. 12
A plane-wave DFT calculation with PBE-GGA was carried out for an optimized crystal structure of Ba3CdW.

Cell: 6.057 6.057 6.057 Å, 90.00 90.00 90.00°
Fractional coordinates of all 5 atoms:
Ba1 0.000 0.000 0.500
Ba2 0.000 0.500 0.000
Ba3 0.500 0.000 0.000
Cd1 0.500 0.500 0.500
W1 0.000 0.000 0.000

Values from the calculation:
- calculated total energy (eV/atom) = -3.127
- magnetic moment (μB per formula unit) = 0.00
- calculated formation energy (eV/atom) = 0.801
- density of states at the Fermi level (states/eV/atom) = 1.044

---

Q: Which formula does entry 9 have?
A: MnCoPb3

---

Q: What is the magnetic moment in the tenth record?
A: 1.25 μB per formula unit